# 1
RbAl2Hg2 | PBE | optimized geometry

Lattice parameters (Å, degrees): 5.142 5.142 10.337 90.00 90.00 90.00
Space group I4/mmm (No. 139)
One atom of each set of equivalent atoms:
Rb 0.000 0.000 0.000 x2
Al 0.000 0.000 0.370 x4
Hg 0.000 0.500 0.250 x4



# 2
HgC3 | PBE | optimized geometry

Lattice parameters (Å, degrees): 2.631 2.631 28.972 90.00 90.00 90.00
Space group I4/mmm (No. 139)
One atom of each set of equivalent atoms:
Hg 0.000 0.000 0.144 x4
C 0.000 0.000 0.460 x4
C 0.000 0.500 0.000 x4
C 0.000 0.500 0.250 x4



# 3
Li3Tc5 | PBE | optimized geometry

Lattice parameters (Å, degrees): 7.1721 7.1721 4.7005 90.00 90.00 120.00
Space group P6_3/mcm (No. 193)
One atom of each set of equivalent atoms:
Li 0.0000 0.4076 0.2500 x6
Tc 0.0000 0.2167 0.7500 x6
Tc 0.3333 0.6667 0.0000 x4



Calculated energy of formation (eV/atom), listed in the same order as above: 0.0342; 2.6900; 0.5440
Calculated E (eV/cell), listed in the same order as above: -17.8; -68.9; -106.4
Calculated spin magnetization (μB per formula unit), listed in the same order as above: 0.0; 0.0; 0.0